Record 1
The following is a DFT calculation (meta-GGA SCAN) of a crystal of Zr2ScRe relaxed with PBEsol.

Cell: 3.357 4.909 5.681 Å, 115.60 107.19 90.00°
Positions (direct):
Sc: 0.500 0.000 0.000
Re: 0.000 0.500 0.000
Zr: 0.714 0.714 0.428
Zr: 0.286 0.286 0.572

Results
Total magnetic moment (μB/atom): 0.000
Energy relative to the elements (meV/atom): -179
E (eV/atom): -36.862

=====

Record 2
The following is a DFT calculation (meta-GGA SCAN) of a crystal of MgTl2In relaxed with PBEsol.

Cell: 3.372 4.483 6.768 Å, 90.00 90.00 90.00°
Positions (direct):
Tl: 0.000 0.000 0.987
Tl: 0.500 0.500 0.256
Mg: 0.500 0.500 0.746
In: 0.000 0.000 0.512

Results
Total magnetic moment (μB/atom): 0.000
Energy relative to the elements (meV/atom): -9
E (eV/atom): -45.778

=====

energy relative to the elements of number 2 (MgTl2In)?
-9 meV/atom